## ScAlRu2 (PBE-GGA)

Data for crystalline ScAlRu2 at its relaxed geometry.

N(E_F): 4.89 states/eV per cell
calculated total energy: -0.519 Ry per atom
size of the total moment: 0.0 μB/cell

Cell and atoms, written as extended XYZ:
```
8
Lattice="-2.039 2.039 8.650 2.039 -2.039 8.650 2.039 2.039 -8.650" Properties=species:S:1:pos:R:3 pbc="T T T"
Sc 0.000 0.000 0.000
Sc 0.000 2.039 4.325
Al 2.039 0.000 4.325
Al 0.000 0.000 8.650
Ru 1.019 -0.718 6.488
Ru 1.321 1.019 2.163
Ru 1.019 2.756 -2.163
Ru 0.718 1.019 10.813
```